Compound: CaY5Mo2O12
Source: the Alexandria database
Functional: PBE+U
Structure: optimized geometry

Unit cell a=6.980 b=6.980 c=7.533 alpha=74.74 beta=74.74 gamma=50.83
Fractional positions:
Y (0.500, 0.500, 0.500)
O (0.938, 0.405, 0.904)
O (0.595, 0.062, 0.096)
Y (0.800, 0.800, 0.862)
O (0.514, 0.514, 0.205)
Mo (0.285, 0.715, 0.000)
Y (0.791, 0.791, 0.351)
O (0.389, 0.905, 0.436)
O (0.095, 0.611, 0.564)
Y (0.200, 0.200, 0.138)
Ca (0.000, 0.000, 0.500)
O (0.405, 0.938, 0.904)
Mo (0.715, 0.285, 0.000)
Y (0.209, 0.209, 0.649)
O (0.611, 0.095, 0.564)
O (0.062, 0.595, 0.096)
O (0.905, 0.389, 0.436)
O (0.004, 0.004, 0.189)
O (0.996, 0.996, 0.811)
O (0.486, 0.486, 0.795)

## Properties
ΔE to the lowest computed polymorph: 0.0 meV per atom
total magnetization: 3.00 μB per cell
SG: No. 12
final energy: -8.272 eV/atom